Record 1
Th4OsSeS2 | PBE | relaxed

abc: 7.1739 4.0651 7.3471
angles: 90.00 109.10 90.00
Closest atoms and distances in Å follow each position.
Element x y z (fractional)
Th: 0.2378 0.0000 0.2306  2 Os 2.83, 3 S 2.91-3.03, 1 Se 3.01
Th: 0.2579 0.5000 0.7641  3 S 2.86-3.00, 1 Os 2.92, 2 Se 2.99
Th: 0.7421 0.5000 0.2359  3 S 2.86-3.00, 1 Os 2.92, 2 Se 2.99
Th: 0.7622 0.0000 0.7694  2 Os 2.83, 3 S 2.91-3.03, 1 Se 3.01
Os: 0.0000 0.5000 0.0000  6 Th 2.83-2.92
Se: 0.0000 0.0000 0.5000  6 Th 2.99-3.01
S: 0.5000 0.0000 0.0000  6 Th 2.86-2.91
S: 0.5000 0.5000 0.5000  6 Th 3.00-3.03

Results
* mass density: 10.346 g cm⁻³
* formation energy (no corrections): -1.383 eV per atom
* magnetic moment: 0.000 μB/atom
* energy: -7.9636 eV per atom

---

Record 2
CdFePb2 | PBE | relaxed

abc: 5.4641 5.4641 3.2339
angles: 90.00 90.00 95.76
Closest atoms and distances in Å follow each position.
Element x y z (fractional)
Cd: 0.0000 0.0000 0.0000  8 Pb 3.17, 2 Cd 3.23
Fe: 0.5000 0.5000 0.0000  8 Pb 3.17, 2 Fe 3.23
Pb: 0.0000 0.5000 0.5000  4 Cd 3.17, 4 Fe 3.17, 2 Pb 3.23
Pb: 0.5000 0.0000 0.5000  4 Cd 3.17, 4 Fe 3.17, 2 Pb 3.23

Results
* mass density: 10.072 g cm⁻³
* magnetic moment: 0.715 μB/atom
* energy: -3.7142 eV per atom
* energy of formation: 0.48 eV/atom

---

Record 3
Ga2BiRuSe | PBE | relaxed

abc: 4.8511 4.8511 5.2286
angles: 90.00 90.00 90.00
Closest atoms and distances in Å follow each position.
Element x y z (fractional)
Ga: 0.0000 0.5000 0.0000  2 Ru 2.43
Ga: 0.5000 0.0000 0.0000  2 Ru 2.43
Bi: 0.0000 0.0000 0.5000  2 Ru 2.61
Ru: 0.0000 0.0000 0.0000  4 Ga 2.43, 2 Bi 2.61
Se: 0.5000 0.5000 0.5000  4 Bi 3.43, 8 Ga 3.57

Results
* mass density: 7.132 g cm⁻³
* formation energy (no corrections): -0.012 eV per atom
* magnetic moment: 0.000 μB/atom
* energy: -4.5508 eV per atom

---

Record 4
AcAlBi2O8 | PBE | relaxed

abc: 5.0208 6.9277 5.0291
angles: 90.00 95.34 90.00
Closest atoms and distances in Å follow each position.
Element x y z (fractional)
Ac: 0.0000 0.0000 0.0000  6 O 2.42-2.45
Al: 0.0000 0.5000 0.0000  4 O 1.89
Bi: 0.5000 0.2693 0.5000  6 O 2.12-2.25
Bi: 0.5000 0.7307 0.5000  6 O 2.12-2.25
O: 0.1863 0.2978 0.1902  1 Al 1.89, 1 Bi 2.12
O: 0.1863 0.7022 0.1902  1 Al 1.89, 1 Bi 2.12
O: 0.2957 0.5000 0.7075  1 Al 2.19, 2 Bi 2.21
O: 0.3339 0.0000 0.6740  2 Bi 2.25, 1 Ac 2.45
O: 0.6661 0.0000 0.3260  2 Bi 2.25, 1 Ac 2.45
O: 0.7043 0.5000 0.2925  1 Al 2.19, 2 Bi 2.21
O: 0.8137 0.2978 0.8098  1 Al 1.89, 1 Bi 2.12
O: 0.8137 0.7022 0.8098  1 Al 1.89, 1 Bi 2.12

Results
* mass density: 7.627 g cm⁻³
* formation energy (no corrections): -1.677 eV per atom
* magnetic moment: 0.000 μB/atom
* energy: -6.2833 eV per atom

---

Record 5
TbTm3Al3 | PBE | relaxed

abc: 7.1637 7.1637 6.8726
angles: 90.00 90.00 90.75
Closest atoms and distances in Å follow each position.
Element x y z (fractional)
Tb: 0.2408 0.2408 0.0000  6 Al 3.10-3.16, 2 Tm 3.44
Tb: 0.7592 0.7592 0.0000  6 Al 3.10-3.16, 2 Tm 3.44
Tm: 0.2413 0.2413 0.5000  6 Al 3.06-3.09
Tm: 0.2432 0.7568 0.5000  6 Al 3.03-3.10
Tm: 0.2504 0.7496 0.0000  6 Al 3.07-3.11
Tm: 0.7496 0.2504 0.0000  6 Al 3.07-3.11
Tm: 0.7568 0.2432 0.5000  6 Al 3.03-3.10
Tm: 0.7587 0.7587 0.5000  6 Al 3.06-3.09
Al: 0.0000 0.5000 0.2550  6 Tm 3.03-3.07, 2 Tb 3.10, 1 Al 3.37
Al: 0.0000 0.5000 0.7450  6 Tm 3.03-3.07, 2 Tb 3.10, 1 Al 3.37
Al: 0.5000 0.0000 0.2550  6 Tm 3.03-3.07, 2 Tb 3.10, 1 Al 3.37
Al: 0.5000 0.0000 0.7450  6 Tm 3.03-3.07, 2 Tb 3.10, 1 Al 3.37
Al: 0.5000 0.5000 0.2591  6 Tm 3.09-3.11, 2 Tb 3.16, 1 Al 3.31
Al: 0.5000 0.5000 0.7409  6 Tm 3.09-3.11, 2 Tb 3.16, 1 Al 3.31

Results
* mass density: 7.032 g cm⁻³
* magnetic moment: 0.000 μB/atom
* energy: -4.4420 eV per atom
* energy of formation: -0.26 eV/atom

---

Record 6
CsCd6Hg | PBE | relaxed

abc: 5.0553 5.0553 9.5356
angles: 90.00 90.00 90.00
Closest atoms and distances in Å follow each position.
Element x y z (fractional)
Cs: 0.0000 0.0000 0.0000  16 Cd 3.87-4.04
Cd: 0.0000 0.5000 0.3306  2 Hg 3.00, 3 Cd 3.02-3.23
Cd: 0.0000 0.5000 0.6694  2 Hg 3.00, 3 Cd 3.02-3.23
Cd: 0.5000 0.0000 0.3306  2 Hg 3.00, 3 Cd 3.02-3.23
Cd: 0.5000 0.0000 0.6694  2 Hg 3.00, 3 Cd 3.02-3.23
Cd: 0.5000 0.5000 0.1566  5 Cd 2.99-3.02
Cd: 0.5000 0.5000 0.8434  5 Cd 2.99-3.02
Hg: 0.0000 0.0000 0.5000  8 Cd 3.00

Results
* mass density: 6.868 g cm⁻³
* magnetic moment: 0.000 μB/atom
* energy: -0.8437 eV per atom
* energy of formation: -0.01 eV/atom

---

Record 7
Pm8DyTh2 | PBE | relaxed

abc: 6.1628 8.5767 8.5977
angles: 102.74 109.11 109.72
Closest atoms and distances in Å follow each position.
Element x y z (fractional)
Pm: 0.1260 0.2086 0.4081  1 Dy 3.37, 3 Th 3.40-3.59, 5 Pm 3.51-3.75
Pm: 0.2009 0.5431 0.2299  3 Th 3.51-3.70, 8 Pm 3.51-3.80, 1 Dy 3.53
Pm: 0.2502 0.9101 0.0450  6 Pm 3.37-3.75, 1 Dy 3.49, 2 Th 3.51-3.71
Pm: 0.2668 0.2670 0.8581  9 Pm 3.49-3.76, 2 Th 3.64-3.79
Pm: 0.7332 0.7330 0.1419  9 Pm 3.49-3.76, 2 Th 3.64-3.79
Pm: 0.7498 0.0899 0.9550  6 Pm 3.37-3.75, 1 Dy 3.49, 2 Th 3.51-3.71
Pm: 0.7991 0.4569 0.7701  3 Th 3.51-3.70, 8 Pm 3.51-3.80, 1 Dy 3.53
Pm: 0.8740 0.7914 0.5919  1 Dy 3.37, 3 Th 3.40-3.59, 5 Pm 3.51-3.75
Dy: 0.5000 0.0000 0.5000  6 Pm 3.37-3.53, 2 Th 3.76
Th: 0.3281 0.6410 0.6839  10 Pm 3.40-3.79, 1 Th 3.72, 1 Dy 3.76
Th: 0.6719 0.3590 0.3161  10 Pm 3.40-3.79, 1 Th 3.72, 1 Dy 3.76

Results
* mass density: 7.908 g cm⁻³
* magnetic moment: 0.000 μB/atom
* energy: -5.1142 eV per atom
* energy of formation: 0.11 eV/atom

---

Record 8
Rb2HoTe3O12 | PBE | relaxed

abc: 7.5709 7.5709 7.5709
angles: 58.62 58.62 58.62
Closest atoms and distances in Å follow each position.
Element x y z (fractional)
Rb: 0.1225 0.1225 0.1225  6 O 3.21-3.25
Rb: 0.8775 0.8775 0.8775  6 O 3.21-3.25
Ho: 0.5000 0.5000 0.5000  6 O 2.23
Te: 0.0000 0.5000 0.5000  6 O 1.88-1.98
Te: 0.5000 0.0000 0.5000  6 O 1.88-1.98
Te: 0.5000 0.5000 0.0000  6 O 1.88-1.98
O: 0.1462 0.5759 0.5759  1 Te 1.88
O: 0.1841 0.1841 0.5821  2 Te 1.98
O: 0.1841 0.5821 0.1841  2 Te 1.98
O: 0.4179 0.8159 0.8159  2 Te 1.98
O: 0.4241 0.4241 0.8538  1 Te 1.88
O: 0.4241 0.8538 0.4241  1 Te 1.88
O: 0.5759 0.1462 0.5759  1 Te 1.88
O: 0.5759 0.5759 0.1462  1 Te 1.88
O: 0.5821 0.1841 0.1841  2 Te 1.98
O: 0.8159 0.4179 0.8159  2 Te 1.98
O: 0.8159 0.8159 0.4179  2 Te 1.98
O: 0.8538 0.4241 0.4241  1 Te 1.88

Results
* mass density: 5.088 g cm⁻³
* formation energy (no corrections): -1.471 eV per atom
* magnetic moment: 0.047 μB/atom
* energy: -5.6617 eV per atom

---

Among the records above, which one has the highest magnetic moment?
CdFePb2